A plane-wave DFT calculation with PBE-GGA was carried out for a relaxed structure of Pm2ZnIn8.

Calculated values
For the density of states at the Fermi level, the calculation gives 0.347 states/eV per atom. The value obtained for the total energy is -3.273 eV per atom. As for the energy relative to the elements: -29.1 kJ per mole of atoms. The total magnetization comes out at 0.0 μB/f.u. The crystal system is tetragonal.

extended XYZ file:
```
11
Lattice="4.7732 0.0000 0.0000 0.0000 4.7732 0.0000 0.0000 0.0000 12.3778" Properties=species:S:1:pos:R:3 pbc="T T T"
Zn 0.0000 0.0000 0.0000
In 2.3866 2.3866 3.8557
In 2.3866 0.0000 6.1889
In 2.3866 2.3866 8.5221
In 2.3866 0.0000 10.8074
In 0.0000 2.3866 10.8074
In 2.3866 0.0000 1.5704
In 0.0000 2.3866 6.1889
In 0.0000 2.3866 1.5704
Pm 0.0000 0.0000 3.8529
Pm 0.0000 0.0000 8.5249
```